Density functional theory data (GGA+U) for a relaxed CrCdCoF6 crystal.

Unit cell a=5.456 b=5.456 c=9.627 alpha=90.00 beta=90.00 gamma=120.00
Element x y z (fractional)
Cr (0.667, 0.333, 0.250)
Cr (0.333, 0.667, 0.750)
Cd (0.000, 0.000, 0.000)
Cd (0.000, 0.000, 0.500)
Co (0.333, 0.667, 0.250)
Co (0.667, 0.333, 0.750)
F (0.649, 0.655, 0.136)
F (0.006, 0.351, 0.136)
F (0.351, 0.006, 0.636)
F (0.994, 0.649, 0.864)
F (0.345, 0.351, 0.364)
F (0.006, 0.655, 0.364)
F (0.655, 0.006, 0.864)
F (0.649, 0.994, 0.364)
F (0.994, 0.345, 0.636)
F (0.345, 0.994, 0.136)
F (0.655, 0.649, 0.636)
F (0.351, 0.345, 0.864)

Final energy ... -89.18 eV/cell
Density of states at the Fermi level ... 11.30 states/eV/cell